# Pm3YTh2Se6 PBE-GGA relaxed
# Calculated total energy   -6.416 eV per atom
# Space-group type   C2/m (12)
# Formation energy (no corrections)   -165 kJ per mole of atoms
data_Pm3YTh2Se6
_cell_length_a 7.236
_cell_length_b 7.236
_cell_length_c 7.252
_cell_angle_alpha 99.62
_cell_angle_beta 99.62
_cell_angle_gamma 119.89
_space_group_name_H-M_alt 'P 1'
_space_group_IT_number 1
loop_
_space_group_symop_operation_xyz
'x,y,z'
loop_
_atom_site_label
_atom_site_type_symbol
_atom_site_fract_x
_atom_site_fract_y
_atom_site_fract_z
Pm1 Pm 0.000 0.000 0.000
Pm2 Pm 0.332 0.668 0.000
Pm3 Pm 0.668 0.332 0.000
Y1 Y 0.500 0.500 0.500
Th1 Th 0.167 0.833 0.500
Th2 Th 0.833 0.167 0.500
Se1 Se 0.091 0.417 0.252
Se2 Se 0.257 0.257 0.750
Se3 Se 0.417 0.091 0.252
Se4 Se 0.583 0.909 0.748
Se5 Se 0.743 0.743 0.250
Se6 Se 0.909 0.583 0.748



# BePtRh2 PBE-GGA relaxed
# Calculated total energy   -6.299 eV per atom
# Space-group type   I4/mmm (139)
# Formation enthalpy at 0 K   -70 kJ/mol of formula units
data_BePtRh2
_cell_length_a 4.604
_cell_length_b 4.604
_cell_length_c 4.604
_cell_angle_alpha 131.47
_cell_angle_beta 131.47
_cell_angle_gamma 71.07
_space_group_name_H-M_alt 'P 1'
_space_group_IT_number 1
loop_
_space_group_symop_operation_xyz
'x,y,z'
loop_
_atom_site_label
_atom_site_type_symbol
_atom_site_fract_x
_atom_site_fract_y
_atom_site_fract_z
Be1 Be 0.000 0.000 0.000
Pt1 Pt 0.500 0.500 0.000
Rh1 Rh 0.250 0.750 0.500
Rh2 Rh 0.750 0.250 0.500



# CrMoPt14 PBE-GGA relaxed
# Calculated total energy   -6.738 eV per atom
# Space-group type   P4/mmm (123)
# Formation enthalpy at 0 K   -268 kJ/mol of formula units
data_CrMoPt14
_cell_length_a 5.603
_cell_length_b 5.603
_cell_length_c 7.876
_cell_angle_alpha 90.00
_cell_angle_beta 90.00
_cell_angle_gamma 90.00
_space_group_name_H-M_alt 'P 1'
_space_group_IT_number 1
loop_
_space_group_symop_operation_xyz
'x,y,z'
loop_
_atom_site_label
_atom_site_type_symbol
_atom_site_fract_x
_atom_site_fract_y
_atom_site_fract_z
Cr1 Cr 0.000 0.000 0.000
Mo1 Mo 0.500 0.500 0.000
Pt1 Pt 0.000 0.000 0.500
Pt2 Pt 0.000 0.500 0.000
Pt3 Pt 0.000 0.500 0.500
Pt4 Pt 0.250 0.250 0.242
Pt5 Pt 0.250 0.250 0.758
Pt6 Pt 0.250 0.750 0.242
Pt7 Pt 0.250 0.750 0.758
Pt8 Pt 0.500 0.000 0.000
Pt9 Pt 0.500 0.000 0.500
Pt10 Pt 0.500 0.500 0.500
Pt11 Pt 0.750 0.250 0.242
Pt12 Pt 0.750 0.250 0.758
Pt13 Pt 0.750 0.750 0.242
Pt14 Pt 0.750 0.750 0.758



# Na3LaB PBE-GGA relaxed
# Calculated total energy   -1.098 eV per atom
# Space-group type   Pm-3m (221)
# Formation enthalpy at 0 K   972 kJ/mol of formula units
data_Na3LaB
_cell_length_a 6.074
_cell_length_b 6.074
_cell_length_c 6.074
_cell_angle_alpha 90.00
_cell_angle_beta 90.00
_cell_angle_gamma 90.00
_space_group_name_H-M_alt 'P 1'
_space_group_IT_number 1
loop_
_space_group_symop_operation_xyz
'x,y,z'
loop_
_atom_site_label
_atom_site_type_symbol
_atom_site_fract_x
_atom_site_fract_y
_atom_site_fract_z
Na1 Na 0.000 0.000 0.500
Na2 Na 0.000 0.500 0.000
Na3 Na 0.500 0.000 0.000
La1 La 0.000 0.000 0.000
B1 B 0.500 0.500 0.500



# RbNaGa2 PBE-GGA relaxed
# Calculated total energy   -2.183 eV per atom
# Space-group type   P2_1/m (11)
# Formation enthalpy at 0 K   -38 kJ/mol of formula units
data_RbNaGa2
_cell_length_a 4.459
_cell_length_b 7.706
_cell_length_c 8.784
_cell_angle_alpha 90.00
_cell_angle_beta 104.61
_cell_angle_gamma 90.00
_space_group_name_H-M_alt 'P 1'
_space_group_IT_number 1
loop_
_space_group_symop_operation_xyz
'x,y,z'
loop_
_atom_site_label
_atom_site_type_symbol
_atom_site_fract_x
_atom_site_fract_y
_atom_site_fract_z
Rb1 Rb 0.090 0.250 0.179
Rb2 Rb 0.910 0.750 0.821
Na1 Na 0.355 0.250 0.711
Na2 Na 0.645 0.750 0.289
Ga1 Ga 0.251 0.584 0.502
Ga2 Ga 0.251 0.916 0.502
Ga3 Ga 0.749 0.084 0.498
Ga4 Ga 0.749 0.416 0.498



# UTiZn4 PBE-GGA relaxed
# Calculated total energy   -4.040 eV per atom
# Space-group type   F-43m (216)
# Formation enthalpy at 0 K   4 kJ/mol of formula units
data_UTiZn4
_cell_length_a 5.256
_cell_length_b 5.256
_cell_length_c 5.256
_cell_angle_alpha 60.00
_cell_angle_beta 60.00
_cell_angle_gamma 60.00
_space_group_name_H-M_alt 'P 1'
_space_group_IT_number 1
loop_
_space_group_symop_operation_xyz
'x,y,z'
loop_
_atom_site_label
_atom_site_type_symbol
_atom_site_fract_x
_atom_site_fract_y
_atom_site_fract_z
U1 U 0.000 0.000 0.000
Ti1 Ti 0.750 0.750 0.750
Zn1 Zn 0.376 0.376 0.376
Zn2 Zn 0.376 0.376 0.872
Zn3 Zn 0.376 0.872 0.376
Zn4 Zn 0.872 0.376 0.376



# Ga2Ni2Sb PBE-GGA relaxed
# Calculated total energy   -4.473 eV per atom
# Space-group type   P4/mbm (127)
# Formation energy (no corrections)   -12 kJ per mole of atoms
data_Ga2Ni2Sb
_cell_length_a 7.315
_cell_length_b 7.315
_cell_length_c 2.880
_cell_angle_alpha 90.00
_cell_angle_beta 90.00
_cell_angle_gamma 90.00
_space_group_name_H-M_alt 'P 1'
_space_group_IT_number 1
loop_
_space_group_symop_operation_xyz
'x,y,z'
loop_
_atom_site_label
_atom_site_type_symbol
_atom_site_fract_x
_atom_site_fract_y
_atom_site_fract_z
Ga1 Ga 0.135 0.365 0.000
Ga2 Ga 0.365 0.865 0.000
Ga3 Ga 0.635 0.135 0.000
Ga4 Ga 0.865 0.635 0.000
Ni1 Ni 0.160 0.660 0.500
Ni2 Ni 0.340 0.160 0.500
Ni3 Ni 0.660 0.840 0.500
Ni4 Ni 0.840 0.340 0.500
Sb1 Sb 0.000 0.000 0.500
Sb2 Sb 0.500 0.500 0.500



# Sm2EuAg PBE-GGA relaxed
# Calculated total energy   -5.610 eV per atom
# Space-group type   R-3m (166)
# Formation enthalpy at 0 K   12 kJ/mol of formula units
data_Sm2EuAg
_cell_length_a 11.104
_cell_length_b 11.104
_cell_length_c 11.104
_cell_angle_alpha 19.07
_cell_angle_beta 19.07
_cell_angle_gamma 19.07
_space_group_name_H-M_alt 'P 1'
_space_group_IT_number 1
loop_
_space_group_symop_operation_xyz
'x,y,z'
loop_
_atom_site_label
_atom_site_type_symbol
_atom_site_fract_x
_atom_site_fract_y
_atom_site_fract_z
Sm1 Sm 0.238 0.238 0.238
Sm2 Sm 0.762 0.762 0.762
Eu1 Eu 0.000 0.000 0.000
Ag1 Ag 0.500 0.500 0.500



# ScTiSb2Te PBE-GGA relaxed
# Calculated total energy   -5.071 eV per atom
# Space-group type   P4/mmm (123)
# Formation energy (no corrections)   5 kJ per mole of atoms
data_ScTiSb2Te
_cell_length_a 5.242
_cell_length_b 5.242
_cell_length_c 5.322
_cell_angle_alpha 90.00
_cell_angle_beta 90.00
_cell_angle_gamma 90.00
_space_group_name_H-M_alt 'P 1'
_space_group_IT_number 1
loop_
_space_group_symop_operation_xyz
'x,y,z'
loop_
_atom_site_label
_atom_site_type_symbol
_atom_site_fract_x
_atom_site_fract_y
_atom_site_fract_z
Sc1 Sc 0.000 0.000 0.000
Ti1 Ti 0.500 0.500 0.500
Sb1 Sb 0.000 0.500 0.500
Sb2 Sb 0.500 0.000 0.500
Te1 Te 0.500 0.500 0.000



# CoSbBr2 PBE-GGA relaxed
# Calculated total energy   -3.218 eV per atom
# Space-group type   Fmmm (69)
# Formation energy (no corrections)   41 kJ per mole of atoms
data_CoSbBr2
_cell_length_a 5.667
_cell_length_b 5.236
_cell_length_c 5.019
_cell_angle_alpha 67.05
_cell_angle_beta 58.30
_cell_angle_gamma 54.65
_space_group_name_H-M_alt 'P 1'
_space_group_IT_number 1
loop_
_space_group_symop_operation_xyz
'x,y,z'
loop_
_atom_site_label
_atom_site_type_symbol
_atom_site_fract_x
_atom_site_fract_y
_atom_site_fract_z
Co1 Co 0.000 0.000 0.000
Sb1 Sb 0.500 0.500 0.500
Br1 Br 0.000 0.500 0.500
Br2 Br 0.500 0.000 0.000



| no. | calculated volume (Å³/cell) |
| --- | --- |
| 1 | 310.3 |
| 2 | 53.7 |
| 3 | 247.3 |
| 4 | 224.1 |
| 5 | 292.1 |
| 6 | 102.7 |
| 7 | 154.1 |
| 8 | 127.8 |
| 9 | 146.2 |
| 10 | 102.5 |